No. 1
{
  "formula": "Tl2BCl6",
  "functional": "PBE",
  "state": "relaxed",
  "sg": "No. 12",
  "m_tot_mub_per_cell": 0.000,
  "e_form_raw_ev_per_atom": -0.5154,
  "lattice": [[-1.3134, -2.9163, -5.3191], [5.8066, 0.4284, -5.1738], [5.5650, -5.0168, -2.1286]],
  "species": ["Tl", "Tl", "B", "Cl", "Cl", "Cl", "Cl", "Cl", "Cl"],
  "frac_coords": [[0.7809, 0.7188, 0.7188], [0.2191, 0.2812, 0.2812], [0.0000, 0.0000, 0.0000], [0.2206, 0.2228, 0.7816], [0.2500, 0.7515, 0.7515], [0.2206, 0.7816, 0.2228], [0.7794, 0.7772, 0.2184], [0.7500, 0.2485, 0.2485], [0.7794, 0.2184, 0.7772]]
}

***

No. 2
{
  "formula": "PmSc2TcN4",
  "functional": "PBE",
  "state": "relaxed",
  "sg": "No. 63",
  "m_tot_mub_per_cell": 0.000,
  "e_form_raw_ev_per_atom": -1.1564,
  "lattice": [[-1.8265, 2.1975, -1.7201], [-0.4216, -5.1164, -2.8551], [-8.8540, -2.6370, 6.0330]],
  "species": ["Pm", "Pm", "Sc", "Sc", "Sc", "Sc", "Tc", "Tc", "N", "N", "N", "N", "N", "N", "N", "N"],
  "frac_coords": [[0.1230, 0.2460, 0.7500], [0.8770, 0.7540, 0.2500], [0.3688, 0.7376, 0.5372], [0.6312, 0.2624, 0.0372], [0.6312, 0.2624, 0.4628], [0.3688, 0.7376, 0.9628], [0.8615, 0.7230, 0.7500], [0.1385, 0.2770, 0.2500], [0.2599, 0.5199, 0.1189], [0.7401, 0.4801, 0.6189], [0.7401, 0.4801, 0.8811], [0.2599, 0.5199, 0.3811], [0.0000, 0.0000, 0.5000], [0.0000, 0.0000, 0.0000], [0.4499, 0.8998, 0.7500], [0.5501, 0.1002, 0.2500]]
}

***

No. 3
{
  "formula": "ScNiIrPd2",
  "functional": "PBE",
  "state": "relaxed",
  "sg": "No. 123",
  "m_tot_mub_per_cell": 0.977,
  "e_form_mev_per_atom": 1053,
  "lattice": [[-2.0799, -3.7827, 1.7750], [3.1916, -0.1364, 3.4491], [-2.7237, 2.7310, 2.6284]],
  "species": ["Sc", "Ni", "Ir", "Pd", "Pd"],
  "frac_coords": [[0.0000, 0.0000, 0.0000], [0.5000, 0.5000, 0.5000], [0.0000, 0.5000, 0.0000], [0.0000, 0.0000, 0.5000], [0.5000, 0.0000, 0.0000]]
}

***

No. 4
{
  "formula": "MnBeCo",
  "functional": "PBE",
  "state": "relaxed",
  "sg": "No. 216",
  "m_tot_mub_per_cell": 4.220,
  "e_form_mev_per_atom": 249,
  "lattice": [[3.6570, 0.0000, 0.0000], [1.8285, 3.1670, 0.0000], [1.8285, 1.0557, 2.9859]],
  "species": ["Be", "Mn", "Co"],
  "frac_coords": [[0.7500, 0.7500, 0.7500], [0.5000, 0.5000, 0.5000], [0.0000, 0.0000, 0.0000]]
}

***

No. 5
{
  "formula": "LiZr2RuAu",
  "functional": "PBE",
  "state": "relaxed",
  "sg": "No. 123",
  "m_tot_mub_per_cell": 0.000,
  "e_form_mev_per_atom": 559,
  "lattice": [[-3.6654, 1.6389, 2.4043], [1.4038, -1.8733, 3.4171], [2.4395, 3.8387, 1.1022]],
  "species": ["Ru", "Au", "Zr", "Zr", "Li"],
  "frac_coords": [[0.5000, 0.5000, 0.5000], [0.0000, 0.5000, 0.0000], [0.0000, 0.0000, 0.5000], [0.5000, 0.0000, 0.0000], [0.0000, 0.0000, 0.0000]]
}

***

No. 6
{
  "formula": "Pm2SmEr6",
  "functional": "PBE",
  "state": "relaxed",
  "sg": "No. 15",
  "m_tot_mub_per_cell": 0.000,
  "e_form_mev_per_atom": 105,
  "lattice": [[-1.0102, 6.4231, -0.7638], [-9.5388, 0.0003, 0.0931], [1.0306, 2.7316, 9.0815]],
  "species": ["Pm", "Pm", "Pm", "Pm", "Sm", "Sm", "Er", "Er", "Er", "Er", "Er", "Er", "Er", "Er", "Er", "Er", "Er", "Er"],
  "frac_coords": [[0.1272, 0.6158, 0.6685], [0.3728, 0.3315, 0.3842], [0.8728, 0.3842, 0.3315], [0.6272, 0.6685, 0.6158], [0.2500, 0.1198, 0.8802], [0.7500, 0.8802, 0.1198], [0.5017, 0.6529, 0.2773], [0.9983, 0.7227, 0.3471], [0.4983, 0.3471, 0.7227], [0.0017, 0.2773, 0.6529], [0.7323, 0.0582, 0.4623], [0.7677, 0.5377, 0.9418], [0.2677, 0.9418, 0.5377], [0.2323, 0.4623, 0.0582], [0.3176, 0.7794, 0.9544], [0.1824, 0.0456, 0.2206], [0.6824, 0.2206, 0.0456], [0.8176, 0.9544, 0.7794]]
}